(1)
Entry from the Alexandria database: a relaxed structure of Sm2DyHo5Er (PBE-GGA).

a = 8.5870 Å, b = 8.5870 Å, c = 9.8678 Å
α = 115.79°, β = 115.79°, γ = 90.00°
Positions (direct):
Sm 0.1173 0.3827 0.0000
Sm 0.6173 0.1173 0.0000
Sm 0.3827 0.8827 0.0000
Sm 0.8827 0.6173 0.0000
Dy 0.2500 0.2500 0.5000
Dy 0.7500 0.7500 0.5000
Ho 0.9280 0.4280 0.2790
Ho 0.6490 0.1490 0.7210
Ho 0.0720 0.5720 0.7210
Ho 0.1490 0.0720 0.7210
Ho 0.5720 0.6490 0.7210
Ho 0.8510 0.9280 0.2790
Ho 0.4280 0.3510 0.2790
Ho 0.3510 0.8510 0.2790
Ho 0.5000 0.5000 0.0000
Ho 0.0000 0.0000 0.0000
Er 0.2500 0.7500 0.5000
Er 0.7500 0.2500 0.5000

Output
Energy of formation from the pure elements: 0.284 eV per atom
Crystal system: tetragonal

(2)
Entry from the Alexandria database: a relaxed structure of Sm2DyHoEr (PBE-GGA).

a = 7.2339 Å, b = 8.3833 Å, c = 7.0958 Å
α = 126.21°, β = 90.00°, γ = 90.00°
Positions (direct):
Sm 0.5000 0.3082 0.0000
Sm 0.0000 0.6918 0.0000
Sm 0.5000 0.6918 0.0000
Sm 0.0000 0.3082 0.0000
Dy 0.2500 0.9937 0.9873
Dy 0.7500 0.0063 0.0127
Ho 0.7500 0.7292 0.4583
Ho 0.2500 0.2708 0.5417
Er 0.2500 0.7217 0.4434
Er 0.7500 0.2783 0.5566

Output
Energy of formation from the pure elements: 0.431 eV per atom
Crystal system: orthorhombic

(3)
Entry from the Alexandria database: a relaxed structure of SmDy2Ho6Er (PBE-GGA).

a = 9.5083 Å, b = 8.7304 Å, c = 8.7304 Å
α = 117.88°, β = 93.86°, γ = 93.86°
Positions (direct):
Sm 0.2500 0.9765 0.0235
Sm 0.7500 0.0235 0.9765
Dy 0.4549 0.8022 0.6970
Dy 0.0451 0.3030 0.1978
Dy 0.5451 0.1978 0.3030
Dy 0.9549 0.6970 0.8022
Ho 0.0568 0.1243 0.7493
Ho 0.4432 0.2507 0.8757
Ho 0.9432 0.8757 0.2507
Ho 0.5568 0.7493 0.1243
Ho 0.3159 0.9815 0.4316
Ho 0.1841 0.5684 0.0185
Ho 0.6841 0.0185 0.5684
Ho 0.8159 0.4316 0.9815
Ho 0.1191 0.7085 0.4935
Ho 0.3809 0.5065 0.2915
Ho 0.8809 0.2915 0.5065
Ho 0.6191 0.4935 0.7085
Er 0.2500 0.4091 0.5909
Er 0.7500 0.5909 0.4091

Output
Energy of formation from the pure elements: 0.120 eV per atom
Crystal system: monoclinic

(4)
Entry from the Alexandria database: a relaxed structure of SmDyHo2Er4 (PBE-GGA).

a = 4.9893 Å, b = 4.9872 Å, c = 11.1536 Å
α = 63.45°, β = 90.00°, γ = 90.00°
Positions (direct):
Sm 0.5000 0.5000 0.0000
Dy 0.0000 0.5000 0.5000
Ho 0.0000 0.0000 0.0000
Ho 0.5000 0.0000 0.5000
Er 0.0000 0.7520 0.7487
Er 0.0000 0.2480 0.2513
Er 0.5000 0.7476 0.2517
Er 0.5000 0.2524 0.7483

Output
Energy of formation from the pure elements: 0.021 eV per atom
Crystal system: tetragonal

(5)
Entry from the Alexandria database: a relaxed structure of SmDyHoEr2 (PBE-GGA).

a = 7.1694 Å, b = 8.3349 Å, c = 7.0596 Å
α = 126.18°, β = 90.00°, γ = 90.00°
Positions (direct):
Sm 0.2500 0.7262 0.4524
Sm 0.7500 0.2738 0.5476
Dy 0.7500 0.7232 0.4464
Dy 0.2500 0.2768 0.5536
Ho 0.2500 0.9994 0.9988
Ho 0.7500 0.0006 0.0012
Er 0.5000 0.3101 0.0000
Er 0.0000 0.6899 0.0000
Er 0.5000 0.6899 0.0000
Er 0.0000 0.3101 0.0000

Output
Energy of formation from the pure elements: 0.388 eV per atom
Crystal system: orthorhombic

(6)
Entry from the Alexandria database: a relaxed structure of Sm6Dy2HoEr3 (PBE-GGA).

a = 6.1986 Å, b = 6.1986 Å, c = 11.7764 Å
α = 95.02°, β = 95.02°, γ = 119.98°
Positions (direct):
Sm 0.9161 0.5828 0.7493
Sm 0.7507 0.7507 0.2510
Sm 0.0839 0.4172 0.2507
Sm 0.5828 0.9161 0.7493
Sm 0.2493 0.2493 0.7490
Sm 0.4172 0.0839 0.2507
Dy 0.3334 0.6666 0.0000
Dy 0.6666 0.3334 0.0000
Ho 0.0000 0.0000 0.0000
Er 0.1668 0.8332 0.5000
Er 0.8332 0.1668 0.5000
Er 0.5000 0.5000 0.5000

Output
Energy of formation from the pure elements: 0.015 eV per atom
Crystal system: monoclinic

(7)
Entry from the Alexandria database: a relaxed structure of SmDy2Ho4Er (PBE-GGA).

a = 5.0007 Å, b = 4.9976 Å, c = 11.1871 Å
α = 63.50°, β = 90.00°, γ = 90.00°
Positions (direct):
Sm 0.5000 0.5000 0.0000
Dy 0.0000 0.0000 0.0000
Dy 0.5000 0.0000 0.5000
Ho 0.0000 0.7520 0.7481
Ho 0.0000 0.2480 0.2519
Ho 0.5000 0.7478 0.2520
Ho 0.5000 0.2522 0.7480
Er 0.0000 0.5000 0.5000

Output
Energy of formation from the pure elements: 0.019 eV per atom
Crystal system: tetragonal

(8)
Entry from the Alexandria database: a relaxed structure of SmDy2HoEr6 (PBE-GGA).

a = 9.4814 Å, b = 8.7114 Å, c = 8.7114 Å
α = 117.88°, β = 93.85°, γ = 93.85°
Positions (direct):
Sm 0.2500 0.9762 0.0238
Sm 0.7500 0.0238 0.9762
Dy 0.4548 0.8030 0.6974
Dy 0.0452 0.3026 0.1970
Dy 0.5452 0.1970 0.3026
Dy 0.9548 0.6974 0.8030
Ho 0.2500 0.4090 0.5910
Ho 0.7500 0.5910 0.4090
Er 0.0572 0.1245 0.7489
Er 0.4428 0.2511 0.8755
Er 0.9428 0.8755 0.2511
Er 0.5572 0.7489 0.1245
Er 0.3164 0.9801 0.4311
Er 0.1836 0.5689 0.0199
Er 0.6836 0.0199 0.5689
Er 0.8164 0.4311 0.9801
Er 0.1188 0.7087 0.4933
Er 0.3812 0.5067 0.2913
Er 0.8812 0.2913 0.5067
Er 0.6188 0.4933 0.7087

Output
Energy of formation from the pure elements: 0.121 eV per atom
Crystal system: monoclinic